(1)
This record from Alexandria via LeMat-Bulk describes RbCrInF6 after structural relaxation. The functional is PBE with a Hubbard U.

```
18
Lattice="-3.7279 3.9990 5.6666 3.7279 -3.9990 5.6666 3.7279 3.9990 -5.6666" Properties=species:S:1:pos:R:3 pbc="T T T"
Rb 0.0000 1.9995 0.8529
Rb 3.7279 1.9995 4.8137
Cr 1.8639 1.9995 -2.8333
Cr 1.8639 -1.9995 2.8333
In 3.7279 0.0000 0.0000
In 0.0000 0.0000 5.6666
F 3.7279 -1.9995 3.5349
F 2.1801 -0.4246 1.3407
F 5.2756 -0.4246 1.3407
F 3.7279 1.9995 0.7673
F 2.1801 3.5744 -1.3407
F 1.5478 -0.4246 4.3259
F 2.1801 4.4236 1.3407
F 1.5478 0.4246 7.0073
F 0.0000 1.9995 4.8993
F -1.5478 4.4236 4.3259
F 1.5478 4.4236 4.3259
F 0.0000 5.9985 2.1317
```

Calculated values
Crystal system: orthorhombic
Density: 3600 kg/m3
E: -5.113 eV per atom

=====

(2)
This record from Alexandria via LeMat-Bulk describes Rb4Cr3InF12 after structural relaxation. The functional is PBE with a Hubbard U.

```
20
Lattice="-4.4116 4.4116 4.4116 4.4116 -4.4116 4.4116 4.4116 4.4116 -4.4116" Properties=species:S:1:pos:R:3 pbc="T T T"
Rb 2.2058 2.2058 -2.2058
Rb 2.2058 -2.2058 2.2058
Rb -2.2058 2.2058 2.2058
Rb 2.2058 2.2058 2.2058
Cr 4.4116 0.0000 0.0000
Cr 0.0000 4.4116 0.0000
Cr 0.0000 0.0000 4.4116
In 0.0000 0.0000 0.0000
F 2.4790 0.0000 0.0000
F 6.3441 0.0000 0.0000
F 4.4116 2.2058 0.0000
F 4.4116 0.0000 2.2058
F 0.0000 2.4790 0.0000
F 0.0000 0.0000 2.4790
F 2.2058 4.4116 0.0000
F 2.2058 0.0000 4.4116
F 0.0000 6.3441 0.0000
F 0.0000 0.0000 6.3441
F 0.0000 4.4116 2.2058
F 0.0000 2.2058 4.4116
```

Calculated values
Crystal system: cubic
Density: 4065 kg/m3
E: -5.182 eV per atom

=====

(3)
This record from Alexandria via LeMat-Bulk describes RbCrIn2F6 after structural relaxation. The functional is PBE with a Hubbard U.

```
20
Lattice="5.9879 0.0000 0.0000 0.0000 7.1990 0.0000 -5.9786 0.0000 9.2350" Properties=species:S:1:pos:R:3 pbc="T T T"
Rb 0.0000 0.0000 0.0000
Rb -2.9893 3.5995 4.6175
Cr 0.0047 0.0000 4.6175
Cr 2.9940 3.5995 0.0000
In -2.9807 0.4758 6.7605
In 0.0086 3.1237 2.1430
In 0.0007 4.0753 7.0920
In 2.9900 6.7232 2.4745
F -4.4321 4.8505 8.7888
F -1.4428 5.9480 4.1713
F -0.0282 0.6865 2.7776
F -3.0175 2.9130 7.3951
F -1.3818 1.2934 5.1280
F 1.6075 2.3061 0.5105
F -1.5982 4.8929 8.7245
F 1.3911 5.9056 4.1070
F 3.0268 4.2860 1.8400
F 0.0375 6.5125 6.4575
F 1.4521 1.2510 5.0637
F 4.4414 2.3485 0.4462
```

Calculated values
Crystal system: monoclinic
Density: 4013 kg/m3
E: -4.878 eV per atom

=====

(4)
This record from Alexandria via LeMat-Bulk describes RbCr2InF8 after structural relaxation. The functional is PBE with a Hubbard U.

```
12
Lattice="4.9097 0.0000 0.0000 -0.3437 5.1125 0.0000 -0.0166 -0.6178 8.1204" Properties=species:S:1:pos:R:3 pbc="T T T"
Rb 0.0000 0.0000 0.0000
Cr 2.1842 2.3985 2.3393
Cr 2.3653 2.0962 5.7811
In -0.0083 -0.3089 4.0602
F 0.7306 0.9981 2.5986
F 0.8401 0.7454 5.6838
F 1.3230 3.4722 3.8839
F 1.7256 3.0286 7.3290
F 2.8238 1.4661 0.7914
F 3.2265 1.0225 4.2365
F 3.7094 3.7493 2.4365
F 3.8189 3.4966 5.5218
```

Calculated values
Crystal system: triclinic
Density: 3717 kg/m3
E: -5.366 eV per atom

=====

(5)
This record from Alexandria via LeMat-Bulk describes CrInSF2 after structural relaxation. The functional is PBE with a Hubbard U.

```
5
Lattice="4.0157 0.0000 0.0000 0.0000 4.0157 0.0000 0.0000 0.0000 5.4946" Properties=species:S:1:pos:R:3 pbc="T T T"
Cr 0.0000 0.0000 0.0000
In 2.0079 2.0079 2.7473
S 0.0000 0.0000 2.7473
F 0.0000 2.0079 0.0000
F 2.0079 0.0000 0.0000
```

Calculated values
Crystal system: tetragonal
Density: 4439 kg/m3
E: -5.244 eV per atom

=====

(6)
This record from Alexandria via LeMat-Bulk describes Cr2InSeF after structural relaxation. The functional is PBE with a Hubbard U.

```
5
Lattice="4.6105 0.0000 0.0000 0.0000 4.6105 0.0000 0.0000 0.0000 4.9905" Properties=species:S:1:pos:R:3 pbc="T T T"
Cr 0.0000 2.3053 0.0000
Cr 2.3053 0.0000 0.0000
In 0.0000 0.0000 2.4953
Se 2.3053 2.3053 2.4953
F 0.0000 0.0000 0.0000
```

Calculated values
Crystal system: tetragonal
Density: 4958 kg/m3
E: -4.969 eV per atom